Entry 1:
Entry from the Alexandria database: an optimized crystal structure of Li3U3AsN8 (PBE-GGA).

Values from the calculation:
uncorrected formation energy: -72 kJ/mol of atoms
final energy: -122.0 eV for the cell shown
size of the total moment: 0.00 μB/cell
space-group type: R-3m (166)

Lattice parameters (Å, degrees): 6.841 6.841 6.348 122.57 90.01 119.99
Fractional positions:
N  0.739  0.478  0.718
N  0.281  0.042  0.303
N  0.761  0.522  0.303
N  0.239  0.958  0.697
N  0.239  0.478  0.697
N  0.719  0.958  0.697
N  0.761  0.042  0.303
N  0.261  0.522  0.282
U  0.500  0.500  0.500
U  0.500  0.000  0.500
U  0.000  0.500  0.500
Li  0.000  0.500  0.000
Li  0.000  0.000  0.000
Li  0.500  0.500  0.000
As  0.000  0.000  0.500


Entry 2:
Entry from the Alexandria database: an optimized crystal structure of LiVAs2N (PBE-GGA).

Values from the calculation:
uncorrected formation energy: 110 kJ/mol of atoms
final energy: -23.0 eV for the cell shown
size of the total moment: 4.28 μB/cell
space-group type: P4/mmm (123)
DOS at the Fermi energy: 2.716 states/eV per cell

Lattice parameters (Å, degrees): 4.666 5.467 4.666 90.00 90.00 90.00
Fractional positions:
N  0.500  0.500  0.500
Li  0.000  0.500  0.000
As  0.000  0.000  0.500
As  0.500  0.000  0.000
V  0.000  0.000  0.000


Entry 3:
Entry from the Alexandria database: an optimized crystal structure of Li2VAsN (PBE-GGA).

Values from the calculation:
uncorrected formation energy: 94 kJ/mol of atoms
final energy: -21.1 eV for the cell shown
size of the total moment: 3.58 μB/cell
space-group type: P4/mmm (123)
DOS at the Fermi energy: 3.803 states/eV per cell

Lattice parameters (Å, degrees): 4.771 3.898 4.771 90.00 90.00 90.00
Fractional positions:
Li  0.500  0.000  0.000
Li  0.000  0.000  0.500
V  0.500  0.500  0.500
As  0.000  0.000  0.000
N  0.000  0.500  0.000